Computed, not measured: crystalline Co3W at its relaxed geometry at the PBE level of DFT.

Cell lengths 4.590, 4.590, 4.590 Å; angles 90.00, 90.00, 90.00 degrees
Fractional positions:
Co1 0.000 0.250 0.500
Co2 0.000 0.750 0.500
Co3 0.250 0.500 0.000
Co4 0.500 0.000 0.250
Co5 0.500 0.000 0.750
Co6 0.750 0.500 0.000
W1 0.000 0.000 0.000
W2 0.500 0.500 0.500

energy of formation	87	meV per atom
SG	No. 223
crystal system	cubic

***

Computed, not measured: crystalline Ce2Si2N5 at its relaxed geometry at the PBE level of DFT.

Cell lengths 5.471, 5.471, 5.596 Å; angles 103.89, 103.89, 41.64 degrees
Fractional positions:
Ce1 0.105 0.105 0.324
Ce2 0.895 0.895 0.676
Si1 0.347 0.347 0.109
Si2 0.653 0.653 0.891
N1 0.173 0.173 0.932
N2 0.347 0.347 0.424
N3 0.500 0.500 0.000
N4 0.653 0.653 0.576
N5 0.827 0.827 0.068

SG	No. 12
formation energy without anion corrections	-1.0286	eV per atom
crystal system	monoclinic

***

Sequential total magnetization output: 5.1 1.1 μB/cell